1.
Nb5V2Mo4 (PBE, optimized geometry); volume = 181.2 Å³/f.u.; ΔE to the lowest computed polymorph = 0.00 eV per formula unit; total moment = 0.00 μB per formula unit; DFT formation energy = -0.06 eV/atom
1.0
-1.275 -0.615 2.866
-1.254 -6.699 -1.996
8.709 2.893 2.712
Mo V Nb
4 2 5
direct
0.320 0.545 0.639
0.955 0.629 0.910
0.045 0.371 0.090
0.680 0.455 0.361
0.586 0.713 0.171
0.414 0.287 0.829
0.224 0.809 0.447
0.500 0.000 0.000
0.776 0.191 0.553
0.864 0.911 0.729
0.136 0.089 0.271

=====

2.
Nb2V5Mo2 (PBE, optimized geometry); volume = 137.7 Å³/f.u.; total moment = 0.00 μB per formula unit; DFT formation energy = 0.12 eV/atom
1.0
-2.895 0.159 0.050
-1.935 2.015 8.864
-2.443 6.370 3.977
Nb Mo V
2 2 5
direct
0.919 0.106 0.255
0.081 0.894 0.745
0.661 0.384 0.746
0.339 0.616 0.254
0.436 0.759 0.430
0.000 0.000 0.000
0.564 0.241 0.570
0.806 0.603 0.812
0.194 0.397 0.188